12
Lattice="-7.2386 -2.8526 -2.4589 6.8064 -2.2341 -3.9067 0.3571 -2.8444 2.2487" Properties=species:S:1:pos:R:3 comment="GGA-PBE ScN, relaxed" e_form_raw_mev_per_atom=-1585 density_g_cm3=2.80 dos_at_fermi_per_ev_cell=0.00 pbc="T T T"
Sc -4.3567 -4.0843 -2.9986
Sc 2.2552 -5.8941 -3.3860
Sc -0.7160 -3.9513 -3.4084
Sc 4.2816 -3.8468 -1.1182
Sc -2.3303 -2.0370 -0.7308
Sc 0.6409 -3.9798 -0.7083
N -4.2290 -2.7814 -1.3709
N 0.5222 -5.3125 -2.3752
N -2.5767 -4.6726 -4.0254
N 4.1538 -5.1497 -2.7459
N -0.5973 -2.6186 -1.7415
N 2.5016 -3.2585 -0.0914